[1]
DFT (PBE) results for a relaxed structure of ZnSiMoAs2.

Computed properties:
Formation energy from raw total energies (kJ/mol of atoms): 97
Calculated volume (Å³ per atom): 21.26

Cell lengths 4.725, 4.761, 4.725 Å; angles 90.00, 90.00, 90.00 degrees
Sites, in units of the cell vectors:
Zn  0.500  0.500  0.500
Mo  0.000  0.500  0.000
Si  0.000  0.000  0.000
As  0.000  0.000  0.500
As  0.500  0.000  0.000

---

[2]
DFT (PBE) results for a relaxed structure of Pr6MgCd5.

Computed properties:
Energy of formation (eV/atom): -0.29
Calculated volume (Å³ per atom): 29.36

Cell lengths 5.487, 7.786, 9.525 Å; angles 114.13, 106.77, 90.00 degrees
Sites, in units of the cell vectors:
Pr  0.832  0.581  0.665
Pr  0.832  0.084  0.665
Pr  0.500  0.747  0.000
Pr  0.500  0.253  0.000
Pr  0.168  0.916  0.335
Pr  0.168  0.419  0.335
Mg  0.000  0.000  0.000
Cd  0.661  0.161  0.322
Cd  0.334  0.334  0.668
Cd  0.000  0.500  0.000
Cd  0.666  0.666  0.332
Cd  0.339  0.839  0.678

---

[3]
DFT (PBE) results for a relaxed structure of Be2AgMo.

Computed properties:
Energy of formation (eV/atom): 0.55
Calculated volume (Å³ per atom): 13.49

Cell lengths 4.962, 4.962, 4.962 Å; angles 148.04, 122.36, 67.44 degrees
Sites, in units of the cell vectors:
Be  0.993  0.993  0.000
Be  0.507  0.507  0.000
Mo  0.250  0.750  0.500
Ag  0.750  0.250  0.500

---

[4]
DFT (PBE) results for a relaxed structure of NdTmZnAg.

Computed properties:
Energy of formation (eV/atom): -0.32
Calculated volume (Å³ per atom): 24.03

Cell lengths 3.617, 3.617, 7.347 Å; angles 90.00, 90.00, 90.00 degrees
Sites, in units of the cell vectors:
Nd  0.000  0.000  0.846
Tm  0.000  0.000  0.362
Zn  0.500  0.500  0.587
Ag  0.500  0.500  0.133

---

[5]
DFT (PBE) results for a relaxed structure of K2In7Pb12.

Computed properties:
Energy of formation (eV/atom): -0.02
Calculated volume (Å³ per atom): 31.15

Cell lengths 3.571, 14.544, 14.544 Å; angles 120.00, 90.00, 90.00 degrees
Sites, in units of the cell vectors:
K  0.245  0.333  0.667
K  0.755  0.667  0.333
In  0.500  0.000  0.000
In  0.258  0.868  0.291
In  0.258  0.422  0.132
In  0.258  0.709  0.578
In  0.742  0.132  0.709
In  0.742  0.578  0.868
In  0.742  0.291  0.422
Pb  0.249  0.617  0.079
Pb  0.249  0.462  0.383
Pb  0.249  0.921  0.538
Pb  0.751  0.383  0.921
Pb  0.751  0.538  0.617
Pb  0.751  0.079  0.462
Pb  0.236  0.082  0.246
Pb  0.236  0.164  0.918
Pb  0.236  0.754  0.836
Pb  0.764  0.918  0.754
Pb  0.764  0.836  0.082
Pb  0.764  0.246  0.164

---

[6]
DFT (PBE) results for a relaxed structure of Ta2CdIr.

Computed properties:
Energy of formation (eV/atom): 0.00
Calculated volume (Å³ per atom): 17.35

Cell lengths 4.700, 2.878, 5.142 Å; angles 86.44, 90.00, 90.00 degrees
Sites, in units of the cell vectors:
Cd  0.000  0.619  0.468
Ir  0.500  0.636  0.791
Ta  0.000  0.060  0.959
Ta  0.500  0.185  0.281

---

[7]
DFT (PBE) results for a relaxed structure of Y2Ho6Tm.

Computed properties:
Energy of formation (eV/atom): 0.02
Calculated volume (Å³ per atom): 31.15

Cell lengths 4.997, 10.594, 10.594 Å; angles 90.00, 90.00, 90.00 degrees
Sites, in units of the cell vectors:
Y  0.000  0.334  0.833
Y  0.500  0.834  0.667
Y  0.500  0.166  0.333
Y  0.000  0.666  0.167
Ho  0.000  0.000  0.166
Ho  0.000  0.666  0.500
Ho  0.000  0.667  0.834
Ho  0.500  0.167  0.666
Ho  0.500  0.166  0.000
Ho  0.500  0.500  0.334
Ho  0.000  0.000  0.834
Ho  0.000  0.334  0.500
Ho  0.000  0.333  0.166
Ho  0.500  0.833  0.334
Ho  0.500  0.834  0.000
Ho  0.500  0.500  0.666
Tm  0.500  0.500  0.000
Tm  0.000  0.000  0.500

---

- The lowest calculated volume belongs to which entry?
  Be2AgMo